The following is a DFT calculation (GGA-PBE) of a relaxed SmTm2In2 crystal.

Computed properties:
Symmetry ... I4/mmm (139)
E ... -3.974 eV/atom
Excess energy over the best structure of this formula in the dataset ... 0 meV/atom
Energy of formation ... -0.146 eV per atom
N(E_F) ... 0.9923 states/eV per atom

```
SmTm2In2
1.0
4.586 0.000 0.000
0.000 4.586 0.000
-2.293 -2.293 14.340
Tm Sm In
4 2 4
direct
0.250 0.750 0.500
0.750 0.250 0.500
0.074 0.074 0.147
0.926 0.926 0.853
0.636 0.636 0.272
0.364 0.364 0.728
0.825 0.825 0.649
0.175 0.175 0.351
0.000 0.500 0.000
0.500 0.000 0.000
```



The following is a DFT calculation (GGA-PBE) of a relaxed LaCu3S crystal.

Computed properties:
Symmetry ... Pm-3m (221)
E ... -4.170 eV/atom
Excess energy over the best structure of this formula in the dataset ... 0 meV/atom
N(E_F) ... 0.8129 states/eV per atom

```
LaCu3S
1.0
4.578 0.000 0.000
0.000 4.578 0.000
0.000 0.000 4.578
Cu La S
3 1 1
direct
0.000 0.500 0.000
0.500 0.000 0.000
0.000 0.000 0.500
0.500 0.500 0.500
0.000 0.000 0.000
```



The following is a DFT calculation (GGA-PBE) of a relaxed PmMgInCl6 crystal.

Computed properties:
Symmetry ... P-31c (163)
E ... -4.056 eV/atom
N(E_F) ... 0.0000 states/eV per atom

```
PmMgInCl6
1.0
-5.160 -3.888 2.443
6.001 0.312 3.406
-4.701 10.822 7.291
Cl Mg In Pm
12 2 2 2
direct
0.639 0.617 0.643
0.617 0.639 0.143
0.383 0.361 0.857
0.639 0.021 0.857
0.979 0.617 0.857
0.361 0.979 0.143
0.979 0.361 0.643
0.361 0.383 0.357
0.021 0.639 0.357
0.617 0.979 0.357
0.383 0.021 0.643
0.021 0.383 0.143
0.667 0.333 0.750
0.333 0.667 0.250
0.000 0.000 0.000
0.000 0.000 0.500
0.667 0.333 0.250
0.333 0.667 0.750
```



The following is a DFT calculation (GGA-PBE) of a relaxed KFeSe2Br crystal.

Computed properties:
Symmetry ... P4/mmm (123)
E ... -2.567 eV/atom
Excess energy over the best structure of this formula in the dataset ... 1433 meV/atom
N(E_F) ... 1.8159 states/eV per atom

```
KFeSe2Br
1.0
-5.276 2.115 -1.125
0.374 -1.960 -5.440
-2.326 -4.939 1.620
Se K Br Fe
2 1 1 1
direct
0.000 0.500 0.000
0.500 0.000 0.000
0.000 0.000 0.000
0.000 0.000 0.500
0.500 0.500 0.500
```



> Which formula does entry 3 have?

PmMgInCl6



> Among the records above, which one has the highest E?

KFeSe2Br



> Among the records above, which one has the highest E?

KFeSe2Br



> What is the formula in the second record?

LaCu3S